VASP calculation (GGA-PBE) on crystalline Nd2DyTm4 at its relaxed geometry.

Unit cell a=6.0419 b=8.4010 c=9.4745 alpha=88.40 beta=78.21 gamma=72.32
Closest atoms and distances in Å follow each position.
Element x y z (fractional)
Nd  0.0000  0.0000  0.0000  8 Tm 3.44-3.71, 2 Nd 3.47-3.66, 2 Dy 3.68-3.83
Nd  0.0071  0.8830  0.3538  4 Tm 3.17-3.50, 1 Dy 3.42, 2 Nd 3.47-3.48
Nd  0.1586  0.4860  0.4932  8 Tm 3.41-3.62, 2 Nd 3.48-3.82, 2 Dy 3.50-3.58
Nd  0.2707  0.0399  0.6231  8 Tm 3.44-3.70, 3 Nd 3.66-3.82, 1 Dy 3.70
Dy  0.1169  0.5493  0.1236  2 Nd 3.42-3.58, 8 Tm 3.43-3.64, 1 Dy 3.47
Dy  0.9052  0.4177  0.8478  8 Tm 3.41-3.64, 1 Dy 3.47, 3 Nd 3.50-3.70
Tm  0.2755  0.1527  0.2625  3 Nd 3.17-3.52, 3 Tm 3.32-3.48, 1 Dy 3.48
Tm  0.3647  0.6235  0.7726  3 Dy 3.41-3.64, 6 Tm 3.44-3.61, 3 Nd 3.50-3.70
Tm  0.4656  0.2082  0.9060  5 Tm 3.41-3.67, 3 Dy 3.43-3.56, 3 Nd 3.45-3.69
Tm  0.5504  0.7743  0.0684  6 Tm 3.45-3.85, 3 Nd 3.47-3.71, 3 Dy 3.51-3.62
Tm  0.6018  0.6810  0.4192  5 Tm 3.32-3.70, 5 Nd 3.33-3.65, 1 Dy 3.64
Tm  0.6712  0.3611  0.1994  6 Tm 3.32-3.70, 3 Dy 3.42-3.46, 2 Nd 3.44-3.62
Tm  0.7238  0.2615  0.5507  5 Nd 3.46-3.70, 6 Tm 3.46-3.81, 1 Dy 3.63
Tm  0.8048  0.8345  0.7162  5 Nd 3.44-3.68, 6 Tm 3.45-3.81, 1 Dy 3.60

The mass density comes out at 8.35 g/cm3. The energy above the lowest structure with this stoichiometry is 0.00 eV/f.u. The calculation puts the energy relative to the elements at 71 meV/atom.

---

VASP calculation (GGA-PBE) on crystalline NdDy3Tm8 at its relaxed geometry.

Unit cell a=8.5437 b=8.5437 c=8.5437 alpha=136.45 beta=98.23 gamma=97.59
Closest atoms and distances in Å follow each position.
Element x y z (fractional)
Nd  0.0000  0.0000  0.0000  8 Tm 3.25-3.40
Dy  0.2552  0.7552  0.5000  6 Tm 3.69
Dy  0.5000  0.5000  0.0000  8 Tm 3.17-3.39
Dy  0.7448  0.2448  0.5000  6 Tm 3.69
Tm  0.0809  0.2507  0.8303  6 Tm 3.34-3.64, 4 Dy 3.39-3.69, 1 Nd 3.40
Tm  0.2548  0.2477  0.5025  6 Tm 3.14-3.37, 1 Dy 3.17, 1 Nd 3.25
Tm  0.2548  0.7523  0.0071  6 Tm 3.14-3.37, 1 Dy 3.17, 1 Nd 3.25
Tm  0.4204  0.2507  0.1697  6 Tm 3.34-3.64, 4 Dy 3.39-3.69, 1 Nd 3.40
Tm  0.5796  0.7493  0.8303  6 Tm 3.34-3.64, 4 Dy 3.39-3.69, 1 Nd 3.40
Tm  0.7452  0.2477  0.9929  6 Tm 3.14-3.37, 1 Dy 3.17, 1 Nd 3.25
Tm  0.7452  0.7523  0.4975  6 Tm 3.14-3.37, 1 Dy 3.17, 1 Nd 3.25
Tm  0.9191  0.7493  0.1697  6 Tm 3.34-3.64, 4 Dy 3.39-3.69, 1 Nd 3.40

The mass density comes out at 8.25 g/cm3. The calculation puts the energy relative to the elements at 322 meV/atom.

---

VASP calculation (GGA-PBE) on crystalline Nd4Dy3Tm8 at its relaxed geometry.

Unit cell a=12.4070 b=12.4070 c=12.4070 alpha=32.38 beta=32.38 gamma=32.38
Closest atoms and distances in Å follow each position.
Element x y z (fractional)
Nd  0.0000  0.0000  0.0000  6 Dy 3.46, 6 Tm 3.53
Nd  0.1634  0.1634  0.1634  4 Tm 3.24-3.50
Nd  0.5000  0.5000  0.5000  6 Tm 3.58, 6 Nd 4.00
Nd  0.8366  0.8366  0.8366  4 Tm 3.24-3.50
Dy  0.0000  0.5000  0.5000  6 Tm 3.40-3.52, 4 Dy 3.46, 2 Nd 3.46
Dy  0.5000  0.0000  0.5000  6 Tm 3.40-3.52, 4 Dy 3.46, 2 Nd 3.46
Dy  0.5000  0.5000  0.0000  6 Tm 3.40-3.52, 2 Nd 3.46, 4 Dy 3.46
Tm  0.2498  0.2498  0.7470  6 Tm 3.44-3.48, 3 Nd 3.50-3.58, 2 Dy 3.52
Tm  0.2498  0.7470  0.2498  6 Tm 3.44-3.48, 3 Nd 3.50-3.58, 2 Dy 3.52
Tm  0.2530  0.7502  0.7502  6 Tm 3.44-3.48, 3 Nd 3.50-3.58, 2 Dy 3.52
Tm  0.2554  0.2554  0.2554  1 Nd 3.24, 3 Dy 3.40, 6 Tm 3.46
Tm  0.7446  0.7446  0.7446  1 Nd 3.24, 3 Dy 3.40, 6 Tm 3.46
Tm  0.7470  0.2498  0.2498  6 Tm 3.44-3.48, 3 Nd 3.50-3.58, 2 Dy 3.52
Tm  0.7502  0.2530  0.7502  6 Tm 3.44-3.48, 3 Nd 3.50-3.58, 2 Dy 3.52
Tm  0.7502  0.7502  0.2530  6 Tm 3.44-3.48, 3 Nd 3.50-3.58, 2 Dy 3.52

The mass density comes out at 8.24 g/cm3. The calculation puts the energy relative to the elements at 122 meV/atom.

---

VASP calculation (GGA-PBE) on crystalline Nd4Dy9Tm11 at its relaxed geometry.

Unit cell a=14.9654 b=14.9654 c=3.6753 alpha=90.00 beta=90.00 gamma=112.74
Closest atoms and distances in Å follow each position.
Element x y z (fractional)
Nd  0.0540  0.2537  0.0000  6 Tm 3.26-3.39, 3 Dy 3.50-3.56
Nd  0.2537  0.0540  0.0000  6 Tm 3.26-3.39, 3 Dy 3.50-3.56
Nd  0.7463  0.9460  0.0000  6 Tm 3.26-3.39, 3 Dy 3.50-3.56
Nd  0.9460  0.7463  0.0000  6 Tm 3.26-3.39, 3 Dy 3.50-3.56
Dy  0.0000  0.0000  0.0000  4 Nd 3.56, 2 Dy 3.68, 4 Tm 3.87
Dy  0.1338  0.6617  0.0000  3 Dy 3.39-3.68, 8 Tm 3.44-3.65, 1 Nd 3.50
Dy  0.2884  0.4348  0.0000  8 Tm 3.46-3.64, 1 Nd 3.51, 3 Dy 3.65-3.68
Dy  0.3383  0.8662  0.0000  3 Dy 3.39-3.68, 8 Tm 3.44-3.65, 1 Nd 3.50
Dy  0.4348  0.2884  0.0000  8 Tm 3.46-3.64, 1 Nd 3.51, 3 Dy 3.65-3.68
Dy  0.5652  0.7116  0.0000  8 Tm 3.46-3.64, 1 Nd 3.51, 3 Dy 3.65-3.68
Dy  0.6617  0.1338  0.0000  3 Dy 3.39-3.68, 8 Tm 3.44-3.65, 1 Nd 3.50
Dy  0.7116  0.5652  0.0000  8 Tm 3.46-3.64, 1 Nd 3.51, 3 Dy 3.65-3.68
Dy  0.8662  0.3383  0.0000  3 Dy 3.39-3.68, 8 Tm 3.44-3.65, 1 Nd 3.50
Tm  0.0928  0.4554  0.5000  2 Nd 3.39, 6 Dy 3.44-3.65, 4 Tm 3.51-3.78
Tm  0.1367  0.8633  0.5000  4 Nd 3.28, 4 Dy 3.52
Tm  0.2156  0.2156  0.5000  4 Nd 3.26, 4 Dy 3.54
Tm  0.3405  0.6595  0.5000  8 Dy 3.61-3.64, 5 Tm 3.68-3.98
Tm  0.4554  0.0928  0.5000  2 Nd 3.39, 6 Dy 3.44-3.65, 4 Tm 3.51-3.78
Tm  0.5000  0.5000  0.5000  8 Dy 3.46, 2 Tm 3.68
Tm  0.5446  0.9072  0.5000  2 Nd 3.39, 6 Dy 3.44-3.65, 4 Tm 3.51-3.78
Tm  0.6595  0.3405  0.5000  8 Dy 3.61-3.64, 5 Tm 3.68-3.98
Tm  0.7844  0.7844  0.5000  4 Nd 3.26, 4 Dy 3.54
Tm  0.8633  0.1367  0.5000  4 Nd 3.28, 4 Dy 3.52
Tm  0.9072  0.5446  0.5000  2 Nd 3.39, 6 Dy 3.44-3.65, 4 Tm 3.51-3.78

The mass density comes out at 8.53 g/cm3. The calculation puts the energy relative to the elements at 59 meV/atom.

---

VASP calculation (GGA-PBE) on crystalline Nd2Dy5Tm2 at its relaxed geometry.

Unit cell a=6.1586 b=6.1597 c=9.4134 alpha=90.11 beta=109.05 gamma=119.82
Closest atoms and distances in Å follow each position.
Element x y z (fractional)
Nd  0.0561  0.4436  0.3304  2 Tm 3.53-3.55, 9 Dy 3.55-3.60, 1 Nd 3.61
Nd  0.9439  0.5564  0.6696  2 Tm 3.53-3.55, 9 Dy 3.55-3.60, 1 Nd 3.61
Dy  0.2777  0.2226  0.6689  2 Tm 3.53-3.55, 6 Dy 3.54-3.60, 4 Nd 3.56-3.59
Dy  0.3874  0.1096  0.3306  6 Dy 3.53-3.60, 2 Tm 3.54, 4 Nd 3.55-3.60
Dy  0.5000  0.0000  0.0000  4 Dy 3.53-3.54, 6 Tm 3.54-3.57, 2 Nd 3.55
Dy  0.6126  0.8904  0.6694  6 Dy 3.53-3.60, 2 Tm 3.54, 4 Nd 3.55-3.60
Dy  0.7223  0.7774  0.3311  2 Tm 3.53-3.55, 6 Dy 3.54-3.60, 4 Nd 3.56-3.59
Tm  0.1671  0.3322  0.0001  2 Nd 3.53-3.55, 7 Dy 3.53-3.57, 3 Tm 3.55-3.57
Tm  0.8329  0.6678  0.9999  2 Nd 3.53-3.55, 7 Dy 3.53-3.57, 3 Tm 3.55-3.57

The mass density comes out at 8.33 g/cm3. The energy above the lowest structure with this stoichiometry is 0.00 eV/f.u. The calculation puts the energy relative to the elements at 18 meV/atom.

---

VASP calculation (GGA-PBE) on crystalline NdDyTm at its relaxed geometry.

Unit cell a=8.1918 b=8.1918 c=3.4313 alpha=90.00 beta=90.00 gamma=90.58
Closest atoms and distances in Å follow each position.
Element x y z (fractional)
Nd  0.2399  0.7601  0.0000  3 Tm 3.03-3.28
Nd  0.7601  0.2399  0.0000  3 Tm 3.03-3.28
Dy  0.2617  0.2617  0.5000  3 Tm 3.02-3.24
Dy  0.7383  0.7383  0.5000  3 Tm 3.02-3.24
Tm  0.0000  0.0000  0.5000  2 Dy 3.02, 4 Nd 3.28
Tm  0.5000  0.5000  0.0000  2 Nd 3.03, 4 Dy 3.24

The mass density comes out at 6.86 g/cm3. The energy above the lowest structure with this stoichiometry is 1.93 eV/f.u. The calculation puts the energy relative to the elements at 658 meV/atom.

---

VASP calculation (GGA-PBE) on crystalline NdDy3Tm7 at its relaxed geometry.

Unit cell a=6.9810 b=6.9810 c=8.5404 alpha=90.00 beta=90.00 gamma=120.00
Closest atoms and distances in Å follow each position.
Element x y z (fractional)
Nd  0.0000  0.0000  0.0000  9 Tm 3.46-3.49, 3 Dy 3.52
Dy  0.1673  0.3345  0.3374  4 Dy 3.48-3.50, 5 Tm 3.48-3.52, 1 Nd 3.52
Dy  0.1673  0.8327  0.3374  4 Dy 3.48-3.50, 5 Tm 3.48-3.52, 1 Nd 3.52
Dy  0.6655  0.8327  0.3374  4 Dy 3.48-3.50, 5 Tm 3.48-3.52, 1 Nd 3.52
Tm  0.0022  0.5011  0.9990  7 Tm 3.44-3.51, 2 Nd 3.49, 2 Dy 3.52
Tm  0.3319  0.1660  0.6703  1 Nd 3.46, 8 Tm 3.46-3.51, 2 Dy 3.48
Tm  0.3333  0.6667  0.6713  9 Tm 3.44-3.49, 3 Dy 3.49
Tm  0.4989  0.5011  0.9990  7 Tm 3.44-3.51, 2 Nd 3.49, 2 Dy 3.52
Tm  0.4989  0.9978  0.9990  7 Tm 3.44-3.51, 2 Nd 3.49, 2 Dy 3.52
Tm  0.8340  0.1660  0.6703  1 Nd 3.46, 8 Tm 3.46-3.51, 2 Dy 3.48
Tm  0.8340  0.6681  0.6703  1 Nd 3.46, 8 Tm 3.46-3.51, 2 Dy 3.48

The mass density comes out at 8.36 g/cm3. The energy above the lowest structure with this stoichiometry is 0.43 eV/f.u. The calculation puts the energy relative to the elements at 198 meV/atom.

---

VASP calculation (GGA-PBE) on crystalline Nd2Dy6Tm at its relaxed geometry.

Unit cell a=9.6041 b=9.6041 c=6.5810 alpha=99.54 beta=99.54 gamma=96.41
Closest atoms and distances in Å follow each position.
Element x y z (fractional)
Nd  0.1193  0.1693  0.3738  3 Nd 3.37-3.65, 7 Dy 3.41-3.67
Nd  0.1693  0.1193  0.8738  3 Nd 3.37-3.65, 7 Dy 3.41-3.67
Nd  0.8307  0.8807  0.1262  3 Nd 3.37-3.65, 7 Dy 3.41-3.67
Nd  0.8807  0.8307  0.6262  3 Nd 3.37-3.65, 7 Dy 3.41-3.67
Dy  0.0389  0.4413  0.7283  6 Dy 3.36-3.54, 2 Nd 3.45-3.67, 1 Tm 3.51
Dy  0.1521  0.7759  0.9952  5 Dy 3.25-3.57, 1 Tm 3.32, 3 Nd 3.41-3.55
Dy  0.2241  0.8479  0.5048  5 Dy 3.25-3.57, 1 Tm 3.32, 3 Nd 3.41-3.55
Dy  0.2775  0.4603  0.1856  3 Dy 3.25-3.43, 1 Tm 3.40, 2 Nd 3.51-3.53
Dy  0.4413  0.0389  0.2283  6 Dy 3.36-3.54, 2 Nd 3.45-3.67, 1 Tm 3.51
Dy  0.4603  0.2775  0.6856  3 Dy 3.25-3.43, 1 Tm 3.40, 2 Nd 3.51-3.53
Dy  0.5397  0.7225  0.3144  3 Dy 3.25-3.43, 1 Tm 3.40, 2 Nd 3.51-3.53
Dy  0.5587  0.9611  0.7717  6 Dy 3.36-3.54, 2 Nd 3.45-3.67, 1 Tm 3.51
Dy  0.7225  0.5397  0.8144  3 Dy 3.25-3.43, 1 Tm 3.40, 2 Nd 3.51-3.53
Dy  0.7759  0.1521  0.4952  5 Dy 3.25-3.57, 1 Tm 3.32, 3 Nd 3.41-3.55
Dy  0.8479  0.2241  0.0048  5 Dy 3.25-3.57, 1 Tm 3.32, 3 Nd 3.41-3.55
Dy  0.9611  0.5587  0.2717  6 Dy 3.36-3.54, 2 Nd 3.45-3.67, 1 Tm 3.51
Tm  0.3832  0.6168  0.7500  10 Dy 3.32-3.69
Tm  0.6168  0.3832  0.2500  10 Dy 3.32-3.69

The mass density comes out at 8.14 g/cm3. The energy above the lowest structure with this stoichiometry is 0.02 eV/f.u. The calculation puts the energy relative to the elements at 114 meV/atom.

---

VASP calculation (GGA-PBE) on crystalline Nd12Dy3Tm at its relaxed geometry.

Unit cell a=5.1532 b=5.1532 c=20.5590 alpha=90.00 beta=90.00 gamma=90.00
Closest atoms and distances in Å follow each position.
Element x y z (fractional)
Nd  0.0000  0.0000  0.0000  8 Nd 3.63, 4 Tm 3.64
Nd  0.0000  0.0000  0.2492  8 Nd 3.64-3.65, 4 Dy 3.64
Nd  0.0000  0.0000  0.5000  4 Dy 3.64, 8 Nd 3.64
Nd  0.0000  0.0000  0.7508  8 Nd 3.64-3.65, 4 Dy 3.64
Nd  0.0000  0.5000  0.1242  8 Nd 3.63-3.64, 2 Tm 3.63, 2 Dy 3.64
Nd  0.0000  0.5000  0.3746  8 Nd 3.64-3.65, 4 Dy 3.64
Nd  0.0000  0.5000  0.6254  8 Nd 3.64-3.65, 4 Dy 3.64
Nd  0.0000  0.5000  0.8758  8 Nd 3.63-3.64, 2 Tm 3.63, 2 Dy 3.64
Nd  0.5000  0.0000  0.1242  8 Nd 3.63-3.64, 2 Tm 3.63, 2 Dy 3.64
Nd  0.5000  0.0000  0.3746  8 Nd 3.64-3.65, 4 Dy 3.64
Nd  0.5000  0.0000  0.6254  8 Nd 3.64-3.65, 4 Dy 3.64
Nd  0.5000  0.0000  0.8758  8 Nd 3.63-3.64, 2 Tm 3.63, 2 Dy 3.64
Dy  0.5000  0.5000  0.2492  12 Nd 3.64
Dy  0.5000  0.5000  0.5000  12 Nd 3.64
Dy  0.5000  0.5000  0.7508  12 Nd 3.64
Tm  0.5000  0.5000  0.0000  12 Nd 3.63-3.64

The mass density comes out at 7.26 g/cm3. The calculation puts the energy relative to the elements at 14 meV/atom.

---

VASP calculation (GGA-PBE) on crystalline Nd4DyTm3 at its relaxed geometry.

Unit cell a=11.5132 b=7.3114 c=6.2882 alpha=90.00 beta=90.00 gamma=90.00
Closest atoms and distances in Å follow each position.
Element x y z (fractional)
Nd  0.0000  0.1286  0.0000  4 Tm 3.56-3.68, 6 Nd 3.56-3.72, 2 Dy 3.61-3.70
Nd  0.0000  0.8698  0.5088  6 Nd 3.57-3.72, 4 Tm 3.57-3.74, 2 Dy 3.63
Nd  0.2470  0.1279  0.3416  5 Tm 3.55-3.72, 6 Nd 3.56-3.66, 1 Dy 3.60
Nd  0.2530  0.8721  0.8416  5 Tm 3.55-3.72, 6 Nd 3.56-3.66, 1 Dy 3.60
Nd  0.5000  0.1302  0.0088  6 Nd 3.57-3.72, 4 Tm 3.57-3.74, 2 Dy 3.63
Nd  0.5000  0.8714  0.5000  4 Tm 3.56-3.68, 6 Nd 3.56-3.72, 2 Dy 3.61-3.70
Nd  0.7470  0.8721  0.8416  5 Tm 3.55-3.72, 6 Nd 3.56-3.66, 1 Dy 3.60
Nd  0.7530  0.1279  0.3416  5 Tm 3.55-3.72, 6 Nd 3.56-3.66, 1 Dy 3.60
Dy  0.0000  0.6220  0.0084  6 Tm 3.54-3.62, 6 Nd 3.60-3.70
Dy  0.5000  0.3780  0.5084  6 Tm 3.54-3.62, 6 Nd 3.60-3.70
Tm  0.0000  0.3814  0.5059  4 Tm 3.53-3.56, 6 Nd 3.55-3.74, 2 Dy 3.59-3.62
Tm  0.2497  0.3803  0.8400  4 Tm 3.53-3.60, 2 Dy 3.54-3.56, 6 Nd 3.56-3.72
Tm  0.2503  0.6197  0.3400  4 Tm 3.53-3.60, 2 Dy 3.54-3.56, 6 Nd 3.56-3.72
Tm  0.5000  0.6186  0.0059  4 Tm 3.53-3.56, 6 Nd 3.55-3.74, 2 Dy 3.59-3.62
Tm  0.7503  0.3803  0.8400  4 Tm 3.53-3.60, 2 Dy 3.54-3.56, 6 Nd 3.56-3.72
Tm  0.7497  0.6197  0.3400  4 Tm 3.53-3.60, 2 Dy 3.54-3.56, 6 Nd 3.56-3.72

The mass density comes out at 7.82 g/cm3. The calculation puts the energy relative to the elements at 28 meV/atom.

---

VASP calculation (GGA-PBE) on crystalline Nd6DyTm2 at its relaxed geometry.

Unit cell a=12.0648 b=12.0648 c=5.7328 alpha=103.73 beta=103.73 gamma=48.36
Closest atoms and distances in Å follow each position.
Element x y z (fractional)
Nd  0.0021  0.1674  0.3330  4 Nd 3.30-3.60, 1 Tm 3.51
Nd  0.0807  0.5799  0.0804  7 Nd 3.41-3.78, 1 Dy 3.61, 6 Tm 3.71-3.73
Nd  0.1674  0.0021  0.8330  4 Nd 3.30-3.60, 1 Tm 3.51
Nd  0.3317  0.4988  0.6646  4 Nd 3.30-3.60, 1 Tm 3.51
Nd  0.4201  0.9193  0.4196  7 Nd 3.41-3.78, 1 Dy 3.61, 6 Tm 3.71-3.73
Nd  0.4988  0.3317  0.1646  4 Nd 3.30-3.60, 1 Tm 3.51
Nd  0.5012  0.6683  0.8354  4 Nd 3.30-3.60, 1 Tm 3.51
Nd  0.5799  0.0807  0.5804  7 Nd 3.41-3.78, 1 Dy 3.61, 6 Tm 3.71-3.73
Nd  0.6683  0.5012  0.3355  4 Nd 3.30-3.60, 1 Tm 3.51
Nd  0.8326  0.9979  0.1670  4 Nd 3.30-3.60, 1 Tm 3.51
Nd  0.9193  0.4201  0.9196  7 Nd 3.41-3.78, 1 Dy 3.61, 6 Tm 3.71-3.73
Nd  0.9979  0.8326  0.6670  4 Nd 3.30-3.60, 1 Tm 3.51
Dy  0.2503  0.7497  0.2500  14 Nd 3.61-3.78
Dy  0.7497  0.2503  0.7500  14 Nd 3.61-3.78
Tm  0.1667  0.3330  0.5011  3 Tm 3.30, 2 Nd 3.51
Tm  0.3330  0.1667  0.0011  3 Tm 3.30, 2 Nd 3.51
Tm  0.6670  0.8333  0.9989  3 Tm 3.30, 2 Nd 3.51
Tm  0.8333  0.6670  0.4989  3 Tm 3.30, 2 Nd 3.51

The mass density comes out at 7.53 g/cm3. The energy above the lowest structure with this stoichiometry is 0.00 eV/f.u. The calculation puts the energy relative to the elements at 57 meV/atom.

---

VASP calculation (GGA-PBE) on crystalline Nd3Dy4Tm3 at its relaxed geometry.

Unit cell a=3.6912 b=9.3959 c=9.3959 alpha=89.58 beta=90.00 gamma=90.00
Closest atoms and distances in Å follow each position.
Element x y z (fractional)
Nd  0.0000  0.0000  0.0000  6 Dy 3.25-3.41
Nd  0.0000  0.4984  0.8450  6 Dy 3.24-3.40
Nd  0.0000  0.8450  0.4984  6 Dy 3.24-3.40
Dy  0.5000  0.0501  0.3011  4 Nd 3.24-3.41, 1 Dy 3.32, 3 Tm 3.36-3.63
Dy  0.5000  0.3011  0.0501  4 Nd 3.24-3.41, 1 Dy 3.32, 3 Tm 3.36-3.63
Dy  0.5000  0.5441  0.5441  2 Tm 3.23, 1 Dy 3.40, 4 Nd 3.40
Dy  0.5000  0.7991  0.7991  6 Nd 3.25-3.40, 1 Dy 3.40
Tm  0.0000  0.3457  0.3457  6 Dy 3.23-3.36
Tm  0.5000  0.1750  0.6656  4 Dy 3.63-3.81, 4 Tm 3.69-3.87, 6 Nd 3.94-3.99
Tm  0.5000  0.6656  0.1750  4 Dy 3.63-3.81, 4 Tm 3.69-3.87, 6 Nd 3.94-3.99

The mass density comes out at 8.10 g/cm3. The calculation puts the energy relative to the elements at 105 meV/atom.